Record 1
Entry from Alexandria via LeMat-Bulk: a relaxed structure of PuNpTc (PBE).

Values from the calculation:
polymorph energy (0 for the lowest one) = 131.0 meV/atom
space-group type = Pnma, No. 62
density of states at the Fermi level = 2.166 states/eV/atom
formation energy = 0.197 eV/atom
total magnetic moment = 12.52 μB/cell
calculated total energy = -12.35 eV per atom

POSCAR file:
```
PuNpTc
1.0
8.688 0.000 0.000
0.000 4.650 0.000
0.000 0.000 5.567
Pu Np Tc
4 4 4
Direct
0.230 0.250 0.029
0.270 0.750 0.529
0.730 0.250 0.471
0.770 0.750 0.971
0.029 0.250 0.421
0.471 0.750 0.921
0.529 0.250 0.079
0.971 0.750 0.579
0.109 0.750 0.063
0.391 0.250 0.563
0.609 0.750 0.437
0.891 0.250 0.937
```

***

Record 2
Entry from Alexandria via LeMat-Bulk: a relaxed structure of LiThGaPt (PBE).

Values from the calculation:
space-group type = F-43m, No. 216
density of states at the Fermi level = 0.013 states/eV/atom
formation energy = -0.719 eV/atom
total magnetic moment = 0.00 μB/cell
calculated total energy = -5.32 eV per atom

POSCAR file:
```
LiThGaPt
1.0
0.000 3.389 3.389
3.389 0.000 3.389
3.389 3.389 0.000
Li Th Ga Pt
1 1 1 1
Direct
0.000 0.000 0.000
0.750 0.750 0.750
0.250 0.250 0.250
0.500 0.500 0.500
```

***

Record 3
Entry from Alexandria via LeMat-Bulk: a relaxed structure of Ho3Cu2Os (PBE).

Values from the calculation:
polymorph energy (0 for the lowest one) = 0.0 meV/atom
space-group type = P4/mmm, No. 123
density of states at the Fermi level = 0.457 states/eV/atom
formation energy = -0.272 eV/atom
total magnetic moment = 0.00 μB/cell
calculated total energy = -5.80 eV per atom

POSCAR file:
```
Ho3Cu2Os
1.0
3.415 0.000 0.000
0.000 3.415 0.000
0.000 0.000 10.433
Ho Cu Os
3 2 1
Direct
0.000 0.000 0.000
0.000 0.000 0.340
0.000 0.000 0.660
0.500 0.500 0.164
0.500 0.500 0.836
0.500 0.500 0.500
```